Entry from Alexandria via LeMat-Bulk: an optimized crystal structure of AgGePb3 (PBE).

## Properties
The total moment is 0.0000 μB per atom. As for the density of states at the Fermi level: 0.73 states/eV/atom. As for the formation energy: 0.585 eV per atom. As for the electronic total energy: -3.134 eV/atom. The calculation puts the polymorph energy (0 for the lowest one) at 0.0188 eV/atom.

a = 5.5409 Å, b = 5.5409 Å, c = 5.5409 Å
α = 90.00°, β = 90.00°, γ = 90.00°
With the nearest neighbours (Å) after each atom.
Positions (direct):
Ag  0.5000  0.5000  0.5000  12 Pb 3.92
Pb  0.5000  0.0000  0.0000  2 Ge 2.77
Pb  0.0000  0.0000  0.5000  2 Ge 2.77
Pb  0.0000  0.5000  0.0000  2 Ge 2.77
Ge  0.0000  0.0000  0.0000  6 Pb 2.77